(1)
Entry from Alexandria via LeMat-Bulk: a relaxed Nb6Rh crystal (PBE).

Output
As for the energy: -0.6933 Ry per atom. The size of the total moment is 0.000 μB per atom.

abc: 4.545 4.545 6.435
angles: 90.00 90.00 90.00
Positions (direct):
1 Nb 0.000 0.000 0.000
2 Nb 0.000 0.500 0.245
3 Nb 0.000 0.500 0.755
4 Nb 0.500 0.000 0.245
5 Nb 0.500 0.000 0.755
6 Nb 0.500 0.500 0.500
7 Rh 0.000 0.000 0.500

***

(2)
Entry from Alexandria via LeMat-Bulk: a relaxed Nb13Rh3 crystal (PBE).

Output
As for the energy: -0.7170 Ry per atom. The size of the total moment is 0.000 μB per atom.

abc: 6.599 6.514 6.514
angles: 90.43 90.00 90.00
Positions (direct):
1 Nb 0.000 0.000 0.000
2 Nb 0.000 0.494 0.494
3 Nb 0.000 0.497 0.997
4 Nb 0.000 0.997 0.497
5 Nb 0.251 0.245 0.751
6 Nb 0.251 0.746 0.746
7 Nb 0.251 0.751 0.245
8 Nb 0.500 0.003 0.486
9 Nb 0.500 0.486 0.003
10 Nb 0.500 0.498 0.498
11 Nb 0.749 0.245 0.751
12 Nb 0.749 0.746 0.746
13 Nb 0.749 0.751 0.245
14 Rh 0.247 0.253 0.253
15 Rh 0.500 0.982 0.982
16 Rh 0.753 0.253 0.253

***

(3)
Entry from Alexandria via LeMat-Bulk: a relaxed Nb2Rh3 crystal (PBE).

Output
As for the energy: -0.6365 Ry per atom. The size of the total moment is 0.000 μB per atom.

abc: 6.992 6.992 6.992
angles: 133.00 65.47 137.16
Positions (direct):
1 Nb 0.175 0.191 0.366
2 Nb 0.325 0.691 0.016
3 Nb 0.675 0.309 0.984
4 Nb 0.825 0.809 0.634
5 Rh 0.109 0.643 0.752
6 Rh 0.250 0.250 0.000
7 Rh 0.391 0.143 0.533
8 Rh 0.609 0.857 0.467
9 Rh 0.750 0.750 0.000
10 Rh 0.891 0.357 0.248

***

Volume? In order: 18.989; 17.499; 16.748 Å³/atom.
Calculated density? In order: 8249; 8994; 9807 kg/m³.